Entry from the Alexandria database: an optimized crystal structure of MgHgRu2 (PBE-GGA). Values from VASP.

## Properties
Magnetic moment   0.000 μB per cell
DFT formation energy   0.160 eV/atom
DOS at the Fermi energy   3.0 states/eV per cell
ΔE to the lowest computed polymorph   0.085 eV/atom

Structure (Quantum ESPRESSO input):
```
&SYSTEM
  ibrav = 0, nat = 4, ntyp = 3
/
ATOMIC_SPECIES
Mg 24.30 Mg.upf
Hg 200.59 Hg.upf
Ru 101.07 Ru.upf
ATOMIC_POSITIONS angstrom
Mg 0.000 0.000 0.000
Hg 1.455 1.827 1.731
Ru 0.000 0.000 3.530
Ru 1.455 1.827 4.695
CELL_PARAMETERS angstrom
2.910 0.000 0.000
0.000 3.654 0.000
0.000 0.000 6.279
```